YHg2Pd after structural relaxation. Source: Alexandria via LeMat-Bulk, functional PBE-GGA.

Lattice parameters (Å, degrees): 8.1354 8.1354 6.4408 50.84 50.84 90.00
With the nearest neighbours (Å) after each atom.
Positions (direct):
Hg (0.3750, 0.3370, 0.7500)  2 Pd 2.76, 2 Hg 2.96
Pd (0.0000, 0.0000, 0.0000)  4 Hg 2.76, 2 Y 2.90
Y (0.2500, 0.7500, 0.5000)  2 Pd 2.90, 4 Hg 3.19
Hg (0.0870, 0.6250, 0.2500)  2 Pd 2.76, 2 Hg 2.96
Pd (0.7500, 0.2500, 0.5000)  4 Hg 2.76, 2 Y 2.90
Y (0.5000, 0.5000, 0.0000)  2 Pd 2.90, 4 Hg 3.19
Hg (0.8750, 0.9130, 0.7500)  2 Pd 2.76, 2 Hg 2.96
Hg (0.6630, 0.1250, 0.2500)  2 Pd 2.76, 2 Hg 2.96

Calculated values
Size of the total moment in μB per atom: 0.00
ΔE_f in eV/atom: -0.26
Raw total energy in eV/cell: -26.57


V5SiRu6 after structural relaxation. Source: Alexandria via LeMat-Bulk, functional PBE-GGA.

Lattice parameters (Å, degrees): 4.2167 5.9431 6.7742 90.00 108.04 90.00
With the nearest neighbours (Å) after each atom.
Positions (direct):
V (0.0000, 0.5000, 0.0000)  8 Ru 2.54-2.60
Ru (0.1582, 0.2471, 0.3180)  1 Si 2.52, 7 V 2.54-2.67
V (0.3272, 0.0000, 0.6524)  8 Ru 2.58-2.66, 1 V 2.87
Si (0.0000, 0.0000, 0.0000)  8 Ru 2.52-2.55
Ru (0.5000, 0.7572, 0.0000)  2 Si 2.55, 6 V 2.60-2.67
Ru (0.1582, 0.7529, 0.3180)  1 Si 2.52, 7 V 2.54-2.67
Ru (0.8418, 0.7529, 0.6820)  1 Si 2.52, 7 V 2.54-2.67
Ru (0.8418, 0.2471, 0.6820)  1 Si 2.52, 7 V 2.54-2.67
V (0.6728, 0.0000, 0.3476)  8 Ru 2.58-2.66, 1 V 2.87
V (0.6692, 0.5000, 0.3401)  8 Ru 2.59-2.67
V (0.3308, 0.5000, 0.6599)  8 Ru 2.59-2.67
Ru (0.5000, 0.2428, 0.0000)  2 Si 2.55, 6 V 2.60-2.67

Calculated values
ΔE_f (raw) in meV per atom: -368
Size of the total moment in μB per atom: 0.00
Raw total energy in eV/cell: -111.09


CaTlCo2 after structural relaxation. Source: Alexandria via LeMat-Bulk, functional PBE-GGA.

Lattice parameters (Å, degrees): 3.8829 4.1753 5.2490 66.52 90.00 90.00
With the nearest neighbours (Å) after each atom.
Positions (direct):
Tl (0.0000, 0.4752, 0.4244)  7 Co 2.85-3.00
Co (0.5000, 0.0698, 0.2345)  2 Co 2.21
Co (0.0000, 0.1799, 0.0160)  2 Co 2.21
Ca (0.5000, 0.7751, 0.8252)  7 Co 2.84-3.00

Calculated values
Size of the total moment in μB per atom: 0.55
ΔE_f in eV/atom: 0.22
Raw total energy in eV/cell: -17.70


Repeat the third record exactly.
CaTlCo2 after structural relaxation. Source: Alexandria via LeMat-Bulk, functional PBE-GGA.

Lattice parameters (Å, degrees): 3.8829 4.1753 5.2490 66.52 90.00 90.00
With the nearest neighbours (Å) after each atom.
Positions (direct):
Tl (0.0000, 0.4752, 0.4244)  7 Co 2.85-3.00
Co (0.5000, 0.0698, 0.2345)  2 Co 2.21
Co (0.0000, 0.1799, 0.0160)  2 Co 2.21
Ca (0.5000, 0.7751, 0.8252)  7 Co 2.84-3.00

Calculated values
Size of the total moment in μB per atom: 0.55
ΔE_f in eV/atom: 0.22
Raw total energy in eV/cell: -17.70


Which value of size of the total moment does entry 1 give?
0.00 μB per atom